No. 1
Density functional theory data (PBE) for a geometry-optimized NdPuZnBi structure.

abc: 5.3905 5.3905 5.3905
angles: 60.00 60.00 60.00
Last column: magnetic moment on the atom in μB.
Atoms (fractional coordinates):
Zn 0.0000 0.0000 0.0000  0.03
Nd 0.2500 0.2500 0.2500  0.29
Bi 0.5000 0.5000 0.5000  -0.05
Pu 0.7500 0.7500 0.7500  5.61

Results
Crystal system: cubic
E_tot (eV/atom): -6.35
Calculated volume (Å³/cell): 110.8
N(E_F) (states/eV per cell): 12.099

***

No. 2
Density functional theory data (PBE) for a geometry-optimized Nd3Sm2Y2 structure.

abc: 3.6373 12.0435 6.2910
angles: 69.88 73.19 98.71
Atoms (fractional coordinates):
Nd 0.0000 0.0000 0.0000
Nd 0.5710 0.4280 0.2853
Nd 0.4290 0.5720 0.7147
Sm 0.8561 0.1421 0.4290
Sm 0.1439 0.8579 0.5710
Y 0.7146 0.2857 0.8576
Y 0.2854 0.7143 0.1424

Results
Crystal system: triclinic
E_tot (eV/atom): -5.23
Calculated volume (Å³/cell): 237.8
N(E_F) (states/eV per cell): 9.241

***

No. 3
Density functional theory data (PBE) for a geometry-optimized La2In2Pd structure.

abc: 4.0539 6.5691 11.6801
angles: 87.58 80.01 72.03
Atoms (fractional coordinates):
La 0.7203 0.2045 0.3549
La 0.9106 0.2959 0.8829
La 0.2797 0.7955 0.6451
La 0.0894 0.7041 0.1171
In 0.0253 0.3548 0.5945
In 0.6330 0.8426 0.8915
In 0.9747 0.6452 0.4055
In 0.3670 0.1574 0.1085
Pd 0.5762 0.1421 0.7054
Pd 0.4238 0.8579 0.2946

Results
Crystal system: monoclinic
Relative energy among the computed polymorphs (eV/atom): 0.0000
E_tot (eV/atom): -4.71
Calculated volume (Å³/cell): 291.4
N(E_F) (states/eV per cell): 8.123